1.
Below is a relaxed CoPbSe2N crystal, with properties calculated at the PBE-GGA level. Values from VASP.

Geometry as Quantum ESPRESSO input:
```
&SYSTEM
  ibrav = 0, nat = 5, ntyp = 4
/
ATOMIC_SPECIES
Co 58.93 Co.upf
Pb 207.20 Pb.upf
Se 78.96 Se.upf
N 14.01 N.upf
CELL_PARAMETERS angstrom
5.215 0.000 0.000
0.000 5.215 0.000
0.000 0.000 3.451
ATOMIC_POSITIONS angstrom
Co 0.000 0.000 0.000
Pb 2.608 2.608 1.725
Se 0.000 2.608 0.000
Se 2.608 0.000 0.000
N 0.000 0.000 1.725
```

- uncorrected energy (eV for the cell shown) = -25.33
- E_form (uncorrected) (eV per atom) = 0.155
- energy above the most stable polymorph in this dataset (kcal/mol of atoms) = 0.00

2.
Below is a relaxed Sr2NdPaP4 crystal, with properties calculated at the PBE-GGA level. Values from VASP.

Geometry as Quantum ESPRESSO input:
```
&SYSTEM
  ibrav = 0, nat = 8, ntyp = 4
/
ATOMIC_SPECIES
Sr 87.62 Sr.upf
Nd 144.24 Nd.upf
Pa 231.04 Pa.upf
P 30.97 P.upf
CELL_PARAMETERS angstrom
7.262 0.000 0.000
0.000 4.218 0.000
-2.410 0.000 6.973
ATOMIC_POSITIONS angstrom
Sr 0.000 0.000 0.000
Sr 3.631 2.109 0.000
Nd -1.205 2.109 3.486
Pa 2.426 0.000 3.486
P 0.134 0.000 5.029
P 1.309 2.109 1.981
P 3.543 2.109 4.991
P 4.718 0.000 1.944
```

- uncorrected energy (eV for the cell shown) = -49.63
- calculated formation energy (eV/atom) = -1.30

3.
Below is a relaxed AcNiTe3 crystal, with properties calculated at the PBE-GGA level. Values from VASP.

Geometry as Quantum ESPRESSO input:
```
&SYSTEM
  ibrav = 0, nat = 5, ntyp = 3
/
ATOMIC_SPECIES
Ac 227.00 Ac.upf
Ni 58.69 Ni.upf
Te 127.60 Te.upf
CELL_PARAMETERS angstrom
5.200 0.000 0.000
0.000 5.200 0.000
0.000 0.000 5.200
ATOMIC_POSITIONS angstrom
Ac 0.000 0.000 0.000
Ni 2.600 2.600 2.600
Te 0.000 2.600 2.600
Te 2.600 0.000 2.600
Te 2.600 2.600 0.000
```

- uncorrected energy (eV for the cell shown) = -22.63
- E_form (uncorrected) (eV per atom) = -0.664

4.
Below is a relaxed NaErRe2O8 crystal, with properties calculated at the PBE-GGA level. Values from VASP.

Geometry as Quantum ESPRESSO input:
```
&SYSTEM
  ibrav = 0, nat = 12, ntyp = 4
/
ATOMIC_SPECIES
Na 22.99 Na.upf
Er 167.26 Er.upf
Re 186.21 Re.upf
O 16.00 O.upf
CELL_PARAMETERS angstrom
5.956 0.000 0.000
-2.978 5.158 0.000
0.000 0.000 6.831
ATOMIC_POSITIONS angstrom
Na 0.000 0.000 0.000
Er 0.000 0.000 3.416
Re 0.000 3.438 5.417
Re 2.978 1.719 1.414
O 0.000 1.725 4.820
O -1.484 4.295 4.820
O 0.000 3.438 0.344
O 1.494 0.863 2.011
O 1.484 4.295 4.820
O 2.978 1.719 6.487
O 4.462 0.863 2.011
O 2.978 3.433 2.011
```

- uncorrected energy (eV for the cell shown) = -93.96
- E_form (uncorrected) (eV per atom) = -1.960

5.
Below is a relaxed CsIn3Pd crystal, with properties calculated at the PBE-GGA level. Values from VASP.

Geometry as Quantum ESPRESSO input:
```
&SYSTEM
  ibrav = 0, nat = 5, ntyp = 3
/
ATOMIC_SPECIES
Cs 132.91 Cs.upf
In 114.82 In.upf
Pd 106.42 Pd.upf
CELL_PARAMETERS angstrom
5.398 0.000 0.000
0.000 5.398 0.000
0.000 0.000 5.398
ATOMIC_POSITIONS angstrom
Cs 0.000 0.000 0.000
In 0.000 2.699 2.699
In 2.699 0.000 2.699
In 2.699 2.699 0.000
Pd 2.699 2.699 2.699
```

- uncorrected energy (eV for the cell shown) = -14.95
- energy above the most stable polymorph in this dataset (kcal/mol of atoms) = 1.56
- calculated formation energy (eV/atom) = -0.14

6.
Below is a relaxed Ca2Mg2Cu crystal, with properties calculated at the PBE-GGA level. Values from VASP.

Geometry as Quantum ESPRESSO input:
```
&SYSTEM
  ibrav = 0, nat = 5, ntyp = 3
/
ATOMIC_SPECIES
Ca 40.08 Ca.upf
Mg 24.30 Mg.upf
Cu 63.55 Cu.upf
CELL_PARAMETERS angstrom
4.506 0.000 0.000
-2.253 3.902 0.000
0.000 0.000 8.428
ATOMIC_POSITIONS angstrom
Ca 0.000 2.602 1.483
Ca 2.253 1.301 6.945
Mg 0.000 2.602 4.932
Mg 2.253 1.301 3.496
Cu 0.000 0.000 4.214
```

- uncorrected energy (eV for the cell shown) = -11.02
- energy above the most stable polymorph in this dataset (kcal/mol of atoms) = 3.20
- calculated formation energy (eV/atom) = 0.05

7.
Below is a relaxed MnBeTe2 crystal, with properties calculated at the PBE-GGA level. Values from VASP.

Geometry as Quantum ESPRESSO input:
```
&SYSTEM
  ibrav = 0, nat = 4, ntyp = 3
/
ATOMIC_SPECIES
Mn 54.94 Mn.upf
Be 9.01 Be.upf
Te 127.60 Te.upf
CELL_PARAMETERS angstrom
4.792 0.000 0.000
0.000 3.597 0.000
-0.010 0.000 6.335
ATOMIC_POSITIONS angstrom
Mn 0.000 0.000 0.000
Be 2.396 0.000 0.000
Te 1.209 1.798 4.831
Te 3.573 1.798 1.504
```

- uncorrected energy (eV for the cell shown) = -18.51
- E_form (uncorrected) (eV per atom) = 0.167

8.
Below is a relaxed NdMgZnRh crystal, with properties calculated at the PBE-GGA level. Values from VASP.

Geometry as Quantum ESPRESSO input:
```
&SYSTEM
  ibrav = 0, nat = 4, ntyp = 4
/
ATOMIC_SPECIES
Nd 144.24 Nd.upf
Mg 24.30 Mg.upf
Zn 65.41 Zn.upf
Rh 102.91 Rh.upf
CELL_PARAMETERS angstrom
0.000 3.435 3.435
3.435 0.000 3.435
3.435 3.435 0.000
ATOMIC_POSITIONS angstrom
Nd 0.000 0.000 0.000
Mg 3.435 3.435 3.435
Zn 1.717 1.717 1.717
Rh 5.152 5.152 5.152
```

- uncorrected energy (eV for the cell shown) = -16.49
- calculated formation energy (eV/atom) = -0.37